# GdPtNO | OQMD | GGA-PBE | optimized geometry
data_GdPtNO
_cell_length_a 4.873
_cell_length_b 4.873
_cell_length_c 4.496
_cell_angle_alpha 90.00
_cell_angle_beta 90.00
_cell_angle_gamma 90.00
_symmetry_space_group_name_H-M 'P 4/n m m'
_symmetry_Int_Tables_number 129
loop_
_symmetry_equiv_pos_as_xyz
'x,y,z'
'-x,-y,-z'
'-y+1/2,x,z'
'y+1/2,-x,-z'
'-x+1/2,-y+1/2,z'
'x+1/2,y+1/2,-z'
'y,-x+1/2,z'
'-y,x+1/2,-z'
'x+1/2,-y,-z'
'-x+1/2,y,z'
'-y,-x,-z'
'y,x,z'
'-x,y+1/2,-z'
'x,-y+1/2,z'
'y+1/2,x+1/2,-z'
'-y+1/2,-x+1/2,z'
loop_
_atom_site_label
_atom_site_fract_x
_atom_site_fract_y
_atom_site_fract_z
Gd1 0.250 0.750 0.000
Pt1 0.250 0.250 0.496
N1 0.250 0.250 0.996
O1 0.250 0.750 0.500
# distance to the lowest polymorph of the same formula = 434 meV/atom
# ρ = 11.90 g cm⁻³